## K2CaCo2O4 (PBE+U)

Data for an optimized crystal structure of K2CaCo2O4.

a b c (Å): 6.437 6.437 8.406
angles (deg): 126.52 126.52 32.10
Atoms (fractional coordinates):
K (0.169, 0.169, 0.273)
K (0.831, 0.831, 0.727)
Ca (0.000, 0.000, 0.500)
Co (0.359, 0.359, 0.134)
Co (0.641, 0.641, 0.866)
O (0.214, 0.214, 0.834)
O (0.452, 0.452, 0.640)
O (0.548, 0.548, 0.360)
O (0.786, 0.786, 0.166)

Calculated values
Energy   -48.1 eV/cell